#i
## K3Pb8Au3 (PBE-GGA)

Data for a geometry-optimized K3Pb8Au3 structure.

Calculated values
* V: 456.0 Å³/f.u.
* space-group type: Immm

a = 5.031 Å, b = 9.989 Å, c = 9.989 Å
α = 72.99°, β = 75.41°, γ = 75.41°
Sites, in units of the cell vectors:
1 Au 0.500 0.000 0.000
2 K 0.500 0.500 0.500
3 Au 0.000 0.727 0.273
4 Au 0.000 0.273 0.727
5 Pb 0.389 0.901 0.320
6 Pb 0.822 0.813 0.542
7 Pb 0.389 0.320 0.901
8 Pb 0.822 0.542 0.813
9 Pb 0.178 0.187 0.458
10 K 0.159 0.841 0.841
11 Pb 0.178 0.458 0.187
12 Pb 0.611 0.099 0.680
13 K 0.841 0.159 0.159
14 Pb 0.611 0.680 0.099



#ii
## K3Pb8Au3 (PBE-GGA)

Data for a geometry-optimized K3Pb8Au3 structure.

Calculated values
* V: 428.0 Å³/f.u.
* space-group type: C2/m

a = 5.241 Å, b = 9.647 Å, c = 9.640 Å
α = 68.37°, β = 74.23°, γ = 74.24°
Sites, in units of the cell vectors:
1 Pb 0.847 0.865 0.442
2 K 0.713 0.294 0.280
3 Au 0.345 0.315 0.994
4 Pb 0.850 0.439 0.861
5 Pb 0.355 0.035 0.254
6 Pb 0.153 0.135 0.558
7 Au 0.000 0.500 0.500
8 K 0.287 0.706 0.720
9 K 0.000 0.000 0.000
10 Au 0.655 0.685 0.006
11 Pb 0.645 0.965 0.746
12 Pb 0.150 0.561 0.139
13 Pb 0.499 0.667 0.335
14 Pb 0.501 0.333 0.665



Most stable to least stable, the ends of the list are #ii and #i.



#i
## K4PbAu (PBE-GGA)

Data for a geometry-optimized K4PbAu structure.

Calculated values
* V: 264.6 Å³/f.u.
* space-group type: F-43m

a = 11.439 Å, b = 11.439 Å, c = 11.439 Å
α = 60.00°, β = 60.00°, γ = 60.00°
Sites, in units of the cell vectors:
1 Pb 0.179 0.179 0.179
2 K 0.552 0.948 0.948
3 K 0.398 0.805 0.398
4 K 0.196 0.804 0.804
5 K 0.948 0.552 0.948
6 K 0.398 0.398 0.805
7 K 0.805 0.398 0.398
8 K 0.196 0.196 0.804
9 K 0.948 0.552 0.552
10 Pb 0.179 0.179 0.462
11 Au 0.608 0.608 0.608
12 Au 0.608 0.176 0.608
13 K 0.804 0.196 0.804
14 Au 0.176 0.608 0.608
15 K 0.196 0.804 0.196
16 K 0.948 0.948 0.552
17 Au 0.608 0.608 0.176
18 Pb 0.462 0.179 0.179
19 K 0.804 0.196 0.196
20 K 0.398 0.398 0.398
21 K 0.552 0.552 0.948
22 K 0.804 0.804 0.196
23 Pb 0.179 0.462 0.179
24 K 0.552 0.948 0.552



#ii
## K4PbAu (PBE-GGA)

Data for a geometry-optimized K4PbAu structure.

Calculated values
* V: 233.9 Å³/f.u.
* space-group type: F-43m

a = 6.916 Å, b = 6.916 Å, c = 6.916 Å
α = 60.00°, β = 60.00°, γ = 60.00°
Sites, in units of the cell vectors:
1 K 0.374 0.877 0.374
2 K 0.374 0.374 0.374
3 Au 0.000 0.000 0.000
4 Pb 0.750 0.750 0.750
5 K 0.374 0.374 0.877
6 K 0.877 0.374 0.374



Most stable to least stable, the ends of the list are #i and #ii.



#i
## KPbAu3 (PBE-GGA)

Data for a geometry-optimized KPbAu3 structure.

Calculated values
* V: 164.0 Å³/f.u.
* space-group type: Pm-3m

a = 5.474 Å, b = 5.474 Å, c = 5.474 Å
α = 90.00°, β = 90.00°, γ = 90.00°
Sites, in units of the cell vectors:
1 Au 0.500 0.000 0.000
2 Au 0.000 0.000 0.500
3 K 0.500 0.500 0.500
4 Pb 0.000 0.000 0.000
5 Au 0.000 0.500 0.000



#ii
## KPbAu3 (PBE-GGA)

Data for a geometry-optimized KPbAu3 structure.

Calculated values
* V: 169.0 Å³/f.u.
* space-group type: Pm-3m

a = 5.528 Å, b = 5.528 Å, c = 5.528 Å
α = 90.00°, β = 90.00°, γ = 90.00°
Sites, in units of the cell vectors:
1 Pb 0.500 0.500 0.500
2 K 0.000 0.000 0.000
3 Au 0.500 0.000 0.000
4 Au 0.000 0.500 0.000
5 Au 0.000 0.000 0.500



Most stable to least stable, the ends of the list are #i and #ii.



#i
## KPb8Au2 (PBE-GGA)

Data for a geometry-optimized KPb8Au2 structure.

Calculated values
* V: 422.5 Å³/f.u.
* space-group type: P4/mmm

a = 6.773 Å, b = 6.773 Å, c = 9.209 Å
α = 90.00°, β = 90.00°, γ = 90.00°
Sites, in units of the cell vectors:
1 Pb 0.753 0.753 0.809
2 Pb 0.247 0.247 0.191
3 Pb 0.247 0.753 0.191
4 Pb 0.753 0.247 0.191
5 K 0.500 0.500 0.500
6 Pb 0.753 0.753 0.191
7 Pb 0.753 0.247 0.809
8 Pb 0.247 0.753 0.809
9 Au 0.500 0.000 0.000
10 Au 0.000 0.500 0.000
11 Pb 0.247 0.247 0.809



#ii
## KPb8Au2 (PBE-GGA)

Data for a geometry-optimized KPb8Au2 structure.

Calculated values
* V: 340.2 Å³/f.u.
* space-group type: C2/m

a = 5.680 Å, b = 8.122 Å, c = 8.122 Å
α = 111.31°, β = 97.26°, γ = 97.26°
Sites, in units of the cell vectors:
1 Au 0.000 0.677 0.323
2 Pb 0.317 0.617 0.617
3 K 0.500 0.000 0.000
4 Pb 0.888 0.661 0.926
5 Pb 0.500 0.259 0.741
6 Pb 0.112 0.074 0.339
7 Pb 0.888 0.926 0.661
8 Au 0.000 0.323 0.677
9 Pb 0.112 0.339 0.074
10 Pb 0.683 0.383 0.383
11 Pb 0.500 0.741 0.259



Most stable to least stable, the ends of the list are #ii and #i.



#i
## KTlPbAu (PBE-GGA)

Data for a geometry-optimized KTlPbAu structure.

Calculated values
* V: 114.3 Å³/f.u.
* space-group type: F-43m

a = 5.448 Å, b = 5.448 Å, c = 5.448 Å
α = 60.00°, β = 60.00°, γ = 60.00°
Sites, in units of the cell vectors:
1 Tl 0.750 0.750 0.750
2 Pb 0.500 0.500 0.500
3 Au 0.250 0.250 0.250
4 K 0.000 0.000 0.000



#ii
## KTlPbAu (PBE-GGA)

Data for a geometry-optimized KTlPbAu structure.

Calculated values
* V: 131.4 Å³/f.u.
* space-group type: R3m

a = 4.916 Å, b = 4.916 Å, c = 6.892 Å
α = 69.11°, β = 69.11°, γ = 60.00°
Sites, in units of the cell vectors:
1 K 0.810 0.810 0.570
2 Au 0.627 0.627 0.119
3 Tl 0.029 0.029 0.914
4 Pb 0.260 0.260 0.220



Most stable to least stable, the ends of the list are #ii and #i.



#i
## KPdAu2 (PBE-GGA)

Data for a geometry-optimized KPdAu2 structure.

Calculated values
* V: 156.2 Å³/f.u.
* space-group type: Imma

a = 9.732 Å, b = 9.718 Å, c = 6.608 Å
α = 90.00°, β = 90.00°, γ = 90.00°
Sites, in units of the cell vectors:
1 Pd 0.500 0.250 0.374
2 K 0.500 0.750 0.125
3 Pd 0.500 0.750 0.626
4 K 0.000 0.250 0.625
5 Au 0.000 0.000 0.000
6 Au 0.750 0.250 0.250
7 K 0.000 0.750 0.375
8 Au 0.500 0.000 0.500
9 Au 0.750 0.750 0.750
10 Pd 0.000 0.750 0.874
11 K 0.500 0.250 0.875
12 Au 0.000 0.500 0.000
13 Au 0.500 0.500 0.500
14 Au 0.250 0.750 0.750
15 Pd 0.000 0.250 0.126
16 Au 0.250 0.250 0.250



#ii
## KPdAu2 (PBE-GGA)

Data for a geometry-optimized KPdAu2 structure.

Calculated values
* V: 84.8 Å³/f.u.
* space-group type: Fm-3m

a = 4.931 Å, b = 4.931 Å, c = 4.931 Å
α = 60.00°, β = 60.00°, γ = 60.00°
Sites, in units of the cell vectors:
1 K 0.000 0.000 0.000
2 Au 0.250 0.250 0.250
3 Pd 0.500 0.500 0.500
4 Au 0.750 0.750 0.750



#iii
## KPdAu2 (PBE-GGA)

Data for a geometry-optimized KPdAu2 structure.

Calculated values
* V: 128.7 Å³/f.u.
* space-group type: I4_1/amd

a = 5.296 Å, b = 5.296 Å, c = 9.915 Å
α = 74.51°, β = 74.51°, γ = 90.00°
Sites, in units of the cell vectors:
1 Au 0.375 0.125 0.750
2 Pd 0.750 0.250 0.500
3 Au 0.875 0.625 0.250
4 Au 0.875 0.125 0.250
5 Pd 0.000 0.000 0.000
6 Au 0.875 0.125 0.750
7 K 0.500 0.500 0.000
8 K 0.250 0.750 0.500



Most stable to least stable, the ends of the list are #iii and #i.



#i
## KPd3Au (PBE-GGA)

Data for a geometry-optimized KPd3Au structure.

Calculated values
* V: 118.1 Å³/f.u.
* space-group type: Pm-3m

a = 4.906 Å, b = 4.906 Å, c = 4.906 Å
α = 90.00°, β = 90.00°, γ = 90.00°
Sites, in units of the cell vectors:
1 Pd 0.000 0.500 0.000
2 Pd 0.500 0.000 0.000
3 K 0.000 0.000 0.000
4 Pd 0.000 0.000 0.500
5 Au 0.500 0.500 0.500



#ii
## KPd3Au (PBE-GGA)

Data for a geometry-optimized KPd3Au structure.

Calculated values
* V: 133.2 Å³/f.u.
* space-group type: Pm-3m

a = 5.107 Å, b = 5.107 Å, c = 5.107 Å
α = 90.00°, β = 90.00°, γ = 90.00°
Sites, in units of the cell vectors:
1 Au 0.000 0.000 0.000
2 K 0.500 0.500 0.500
3 Pd 0.000 0.000 0.500
4 Pd 0.000 0.500 0.000
5 Pd 0.500 0.000 0.000



Most stable to least stable, the ends of the list are #ii and #i.



#i
## K2PdAu (PBE-GGA)

Data for a geometry-optimized K2PdAu structure.

Calculated values
* V: 116.9 Å³/f.u.
* space-group type: Fm-3m

a = 5.488 Å, b = 5.488 Å, c = 5.488 Å
α = 60.00°, β = 60.00°, γ = 60.00°
Sites, in units of the cell vectors:
1 Pd 0.000 0.000 0.000
2 K 0.750 0.750 0.750
3 K 0.250 0.250 0.250
4 Au 0.500 0.500 0.500



#ii
## K2PdAu (PBE-GGA)

Data for a geometry-optimized K2PdAu structure.

Calculated values
* V: 123.2 Å³/f.u.
* space-group type: R-3m

a = 3.659 Å, b = 3.659 Å, c = 10.830 Å
α = 80.27°, β = 80.27°, γ = 60.00°
Sites, in units of the cell vectors:
1 K 0.909 0.909 0.272
2 Pd 0.000 0.000 0.000
3 Au 0.500 0.500 0.500
4 K 0.091 0.091 0.728



#iii
## K2PdAu (PBE-GGA)

Data for a geometry-optimized K2PdAu structure.

Calculated values
* V: 114.0 Å³/f.u.
* space-group type: I-42d

a = 8.874 Å, b = 8.874 Å, c = 6.911 Å
α = 50.06°, β = 50.06°, γ = 90.00°
Sites, in units of the cell vectors:
1 K 0.602 0.125 0.250
2 Pd 0.250 0.750 0.500
3 Au 0.000 0.000 0.000
4 K 0.148 0.625 0.250
5 K 0.375 0.398 0.750
6 K 0.875 0.852 0.750
7 Au 0.750 0.250 0.500
8 Pd 0.500 0.500 0.000



Most stable to least stable, the ends of the list are #iii and #ii.



#i
## KPdAu (PBE-GGA)

Data for a geometry-optimized KPdAu structure.

Calculated values
* V: 65.8 Å³/f.u.
* space-group type: Imma

a = 5.701 Å, b = 5.701 Å, c = 5.701 Å
α = 90.54°, β = 119.68°, γ = 119.69°
Sites, in units of the cell vectors:
1 K 0.250 0.128 0.878
2 Au 0.000 0.500 0.500
3 Au 0.500 0.000 0.500
4 K 0.750 0.872 0.122
5 Pd 0.500 0.500 0.500
6 Pd 0.000 0.500 0.000



#ii
## KPdAu (PBE-GGA)

Data for a geometry-optimized KPdAu structure.

Calculated values
* V: 78.6 Å³/f.u.
* space-group type: I4mm

a = 3.724 Å, b = 3.724 Å, c = 6.250 Å
α = 107.33°, β = 107.33°, γ = 90.00°
Sites, in units of the cell vectors:
1 K 0.002 0.002 0.004
2 Au 0.724 0.724 0.448
3 Pd 0.274 0.274 0.548



#iii
## KPdAu (PBE-GGA)

Data for a geometry-optimized KPdAu structure.

Calculated values
* V: 84.9 Å³/f.u.
* space-group type: P-6m2

a = 4.798 Å, b = 4.520 Å, c = 4.520 Å
α = 120.00°, β = 90.00°, γ = 90.00°
Sites, in units of the cell vectors:
1 Pd 0.167 0.667 0.333
2 Au 0.167 0.000 0.000
3 K 0.667 0.333 0.667



#iv
## KPdAu (PBE-GGA)

Data for a geometry-optimized KPdAu structure.

Calculated values
* V: 75.4 Å³/f.u.
* space-group type: P2_1/m

a = 4.777 Å, b = 5.504 Å, c = 6.146 Å
α = 111.14°, β = 90.00°, γ = 90.00°
Sites, in units of the cell vectors:
1 Pd 0.750 0.609 0.463
2 Au 0.250 0.859 0.469
3 Au 0.750 0.141 0.531
4 K 0.750 0.749 0.988
5 K 0.250 0.251 0.012
6 Pd 0.250 0.391 0.537



Most stable to least stable, the ends of the list are #i and #iii.



#i
## K2RbPdAu (PBE-GGA)

Data for a geometry-optimized K2RbPdAu structure.

Calculated values
* V: 204.5 Å³/f.u.
* space-group type: P4/mmm

a = 6.186 Å, b = 6.186 Å, c = 5.344 Å
α = 90.00°, β = 90.00°, γ = 90.00°
Sites, in units of the cell vectors:
1 Rb 0.500 0.500 0.500
2 Pd 0.000 0.000 0.500
3 Au 0.000 0.000 0.000
4 K 0.000 0.500 0.000
5 K 0.500 0.000 0.000



#ii
## K2RbPdAu (PBE-GGA)

Data for a geometry-optimized K2RbPdAu structure.

Calculated values
* V: 197.9 Å³/f.u.
* space-group type: P4/mmm

a = 6.052 Å, b = 6.052 Å, c = 5.404 Å
α = 90.00°, β = 90.00°, γ = 90.00°
Sites, in units of the cell vectors:
1 Pd 0.000 0.000 0.000
2 Au 0.000 0.000 0.500
3 Rb 0.500 0.500 0.500
4 K 0.500 0.000 0.000
5 K 0.000 0.500 0.000



Most stable to least stable, the ends of the list are #ii and #i.



#i
## KPrAu2 (PBE-GGA)

Data for a geometry-optimized KPrAu2 structure.

Calculated values
* V: 132.4 Å³/f.u.
* space-group type: R-3m

a = 4.326 Å, b = 4.326 Å, c = 8.545 Å
α = 75.34°, β = 75.34°, γ = 60.00°
Sites, in units of the cell vectors:
1 Au 0.737 0.737 0.789
2 Pr 0.000 0.000 0.000
3 Au 0.263 0.263 0.211
4 K 0.500 0.500 0.500



#ii
## KPrAu2 (PBE-GGA)

Data for a geometry-optimized KPrAu2 structure.

Calculated values
* V: 119.7 Å³/f.u.
* space-group type: P4/mmm

a = 3.849 Å, b = 3.849 Å, c = 8.080 Å
α = 90.00°, β = 90.00°, γ = 90.00°
Sites, in units of the cell vectors:
1 Au 0.000 0.000 0.809
2 Au 0.000 0.000 0.191
3 K 0.500 0.500 0.500
4 Pr 0.500 0.500 0.000



Most stable to least stable, the ends of the list are #ii and #i.